Entry 1:
This record from Alexandria describes crystalline Zn2AuSe at its relaxed geometry. The functional is PBE.

As for the calculated density: 9.52 g/cm3. Its symmetry is P4/mmm. For the raw formation energy, the calculation gives -3 kJ per mole of atoms.

a = 3.5795 Å, b = 3.5795 Å, c = 5.5387 Å
α = 90.00°, β = 90.00°, γ = 90.00°
Atoms (fractional coordinates):
Zn (0.0000, 0.0000, 0.2458)
Zn (0.0000, 0.0000, 0.7542)
Au (0.5000, 0.5000, 0.0000)
Se (0.5000, 0.5000, 0.5000)



Entry 2:
This record from Alexandria describes crystalline Zn2AuSe at its relaxed geometry. The functional is PBE.

As for the calculated density: 9.48 g/cm3. Its symmetry is P4/mmm. For the raw formation energy, the calculation gives -1 kJ per mole of atoms.

a = 5.0793 Å, b = 5.0793 Å, c = 2.7627 Å
α = 90.00°, β = 90.00°, γ = 90.00°
Atoms (fractional coordinates):
Zn (0.0000, 0.5000, 0.0000)
Zn (0.5000, 0.0000, 0.0000)
Au (0.0000, 0.0000, 0.5000)
Se (0.5000, 0.5000, 0.5000)



Entry 3:
This record from Alexandria describes crystalline Zn2AuSe at its relaxed geometry. The functional is PBE.

As for the calculated density: 7.94 g/cm3. Its symmetry is Pm. For the raw formation energy, the calculation gives -18 kJ per mole of atoms.

a = 2.8910 Å, b = 3.9822 Å, c = 7.3877 Å
α = 90.00°, β = 90.34°, γ = 90.00°
Atoms (fractional coordinates):
Zn (0.0000, 0.0000, 0.0000)
Zn (0.0037, 0.5000, 0.4461)
Au (0.5011, 0.5000, 0.1458)
Se (0.0004, 0.0000, 0.6503)



Entry 4:
This record from Alexandria describes crystalline ZrAu2Se2 at its relaxed geometry. The functional is PBE.

As for the calculated density: 10.25 g/cm3. Its symmetry is P4/mbm. For the raw formation energy, the calculation gives -23 kJ per mole of atoms.

a = 7.2254 Å, b = 7.2254 Å, c = 3.9906 Å
α = 90.00°, β = 90.00°, γ = 90.00°
Atoms (fractional coordinates):
Zr (0.0000, 0.0000, 0.0000)
Zr (0.5000, 0.5000, 0.0000)
Au (0.1479, 0.3521, 0.5000)
Au (0.3521, 0.8521, 0.5000)
Au (0.6479, 0.1479, 0.5000)
Au (0.8521, 0.6479, 0.5000)
Se (0.1701, 0.6701, 0.0000)
Se (0.3299, 0.1701, 0.0000)
Se (0.6701, 0.8299, 0.0000)
Se (0.8299, 0.3299, 0.0000)



Entry 5:
This record from Alexandria describes crystalline ZrAuSe4 at its relaxed geometry. The functional is PBE.

As for the calculated density: 7.96 g/cm3. Its symmetry is F-43m. For the raw formation energy, the calculation gives 37 kJ per mole of atoms.

a = 5.6268 Å, b = 5.6268 Å, c = 5.6268 Å
α = 60.00°, β = 60.00°, γ = 60.00°
Atoms (fractional coordinates):
Zr (0.0000, 0.0000, 0.0000)
Au (0.7500, 0.7500, 0.7500)
Se (0.3749, 0.3749, 0.3749)
Se (0.3749, 0.3749, 0.8752)
Se (0.3749, 0.8752, 0.3749)
Se (0.8752, 0.3749, 0.3749)



Entry 6:
This record from Alexandria describes crystalline Zr3AuSe at its relaxed geometry. The functional is PBE.

As for the calculated density: 7.56 g/cm3. Its symmetry is Pm-3m. For the raw formation energy, the calculation gives -6 kJ per mole of atoms.

a = 4.9431 Å, b = 4.9431 Å, c = 4.9431 Å
α = 90.00°, β = 90.00°, γ = 90.00°
Atoms (fractional coordinates):
Zr (0.0000, 0.0000, 0.5000)
Zr (0.0000, 0.5000, 0.0000)
Zr (0.5000, 0.0000, 0.0000)
Au (0.5000, 0.5000, 0.5000)
Se (0.0000, 0.0000, 0.0000)



Entry 7:
This record from Alexandria describes crystalline Si2Au7 at its relaxed geometry. The functional is PBE.

As for the calculated density: 14.69 g/cm3. Its symmetry is Cmcm. For the raw formation energy, the calculation gives 8 kJ per mole of atoms.

a = 5.8416 Å, b = 5.8416 Å, c = 11.9488 Å
α = 90.00°, β = 90.00°, γ = 52.71°
Atoms (fractional coordinates):
Si (0.1518, 0.8482, 0.6102)
Si (0.1518, 0.8482, 0.8898)
Si (0.8482, 0.1518, 0.1102)
Si (0.8482, 0.1518, 0.3898)
Au (0.0897, 0.2947, 0.2500)
Au (0.1189, 0.6003, 0.0642)
Au (0.1189, 0.6003, 0.4358)
Au (0.2947, 0.0897, 0.7500)
Au (0.3997, 0.8811, 0.0642)
Au (0.3997, 0.8811, 0.4358)
Au (0.4769, 0.5231, 0.2500)
Au (0.5231, 0.4769, 0.7500)
Au (0.6003, 0.1189, 0.5642)
Au (0.6003, 0.1189, 0.9358)
Au (0.7053, 0.9103, 0.2500)
Au (0.8811, 0.3997, 0.5642)
Au (0.8811, 0.3997, 0.9358)
Au (0.9103, 0.7053, 0.7500)



Entry 8:
This record from Alexandria describes crystalline SiAu3 at its relaxed geometry. The functional is PBE.

As for the calculated density: 13.65 g/cm3. Its symmetry is P-6m2. For the raw formation energy, the calculation gives 12 kJ per mole of atoms.

a = 3.5362 Å, b = 3.5362 Å, c = 6.9526 Å
α = 90.00°, β = 90.00°, γ = 120.00°
Atoms (fractional coordinates):
Si (0.0000, 0.0000, 0.0000)
Au (0.0000, 0.0000, 0.5000)
Au (0.3333, 0.6667, 0.2196)
Au (0.3333, 0.6667, 0.7804)



Entry 9:
This record from Alexandria describes crystalline Si3Au at its relaxed geometry. The functional is PBE.

As for the calculated density: 7.22 g/cm3. Its symmetry is Pmm2. For the raw formation energy, the calculation gives 42 kJ per mole of atoms.

a = 2.7750 Å, b = 4.7653 Å, c = 4.8919 Å
α = 90.00°, β = 90.00°, γ = 90.00°
Atoms (fractional coordinates):
Si (0.0000, 0.0000, 0.0000)
Si (0.0000, 0.5000, 0.4994)
Si (0.5000, 0.5000, 0.0031)
Au (0.5000, 0.0000, 0.5010)



Entry 10:
This record from Alexandria describes crystalline SiAu2 at its relaxed geometry. The functional is PBE.

As for the calculated density: 13.27 g/cm3. Its symmetry is Cmcm. For the raw formation energy, the calculation gives 9 kJ per mole of atoms.

a = 3.2113 Å, b = 13.3958 Å, c = 4.9123 Å
α = 90.00°, β = 90.00°, γ = 90.00°
Atoms (fractional coordinates):
Si (0.0000, 0.2022, 0.2500)
Si (0.0000, 0.7978, 0.7500)
Si (0.5000, 0.2978, 0.7500)
Si (0.5000, 0.7022, 0.2500)
Au (0.0000, 0.1429, 0.7500)
Au (0.0000, 0.4494, 0.7500)
Au (0.0000, 0.5506, 0.2500)
Au (0.0000, 0.8571, 0.2500)
Au (0.5000, 0.0506, 0.2500)
Au (0.5000, 0.3571, 0.2500)
Au (0.5000, 0.6429, 0.7500)
Au (0.5000, 0.9494, 0.7500)



Entry 11:
This record from Alexandria describes crystalline Si8Au at its relaxed geometry. The functional is PBE.

As for the calculated density: 5.07 g/cm3. Its symmetry is I4/mmm. For the raw formation energy, the calculation gives 50 kJ per mole of atoms.

a = 6.2237 Å, b = 6.2237 Å, c = 6.2237 Å
α = 95.83°, β = 95.83°, γ = 142.83°
Atoms (fractional coordinates):
Si (0.0000, 0.3437, 0.3437)
Si (0.0000, 0.6563, 0.6563)
Si (0.3265, 0.3265, 0.6530)
Si (0.3265, 0.6735, 0.0000)
Si (0.3437, 0.0000, 0.3437)
Si (0.6563, 0.0000, 0.6563)
Si (0.6735, 0.3265, 0.0000)
Si (0.6735, 0.6735, 0.3470)
Au (0.0000, 0.0000, 0.0000)



Entry 12:
This record from Alexandria describes crystalline Si6Au7 at its relaxed geometry. The functional is PBE.

As for the calculated density: 10.22 g/cm3. Its symmetry is R-3m. For the raw formation energy, the calculation gives 28 kJ per mole of atoms.

a = 9.4390 Å, b = 9.4390 Å, c = 9.4390 Å
α = 35.34°, β = 35.34°, γ = 35.34°
Atoms (fractional coordinates):
Si (0.0931, 0.0931, 0.0931)
Si (0.1826, 0.1826, 0.1826)
Si (0.3328, 0.3328, 0.3328)
Si (0.6672, 0.6672, 0.6672)
Si (0.8174, 0.8174, 0.8174)
Si (0.9069, 0.9069, 0.9069)
Au (0.0778, 0.5756, 0.5756)
Au (0.4244, 0.4244, 0.9222)
Au (0.4244, 0.9222, 0.4244)
Au (0.5000, 0.5000, 0.5000)
Au (0.5756, 0.0778, 0.5756)
Au (0.5756, 0.5756, 0.0778)
Au (0.9222, 0.4244, 0.4244)